[1]
Here is a relaxed GdNpIr crystal from the Open Quantum Materials Database. Energies are from GGA-PBE.

Properties
Offset from the most stable computed form in meV/atom: 0
Space-group type: F-43m
Spin magnetization in μB/cell: 18.2
E in eV/cell: -107.51

Cell lengths 6.6853, 6.6853, 6.6853 Å; angles 90.00, 90.00, 90.00 degrees
Last column: nearest neighbours and their distance in Å.
Positions (direct):
Gd  0.0000  0.0000  0.0000  4 Ir 2.89
Gd  0.0000  0.5000  0.5000  4 Ir 2.89
Gd  0.5000  0.0000  0.5000  4 Ir 2.89
Gd  0.5000  0.5000  0.0000  4 Ir 2.89
Np  0.0000  0.0000  0.5000  4 Ir 2.89
Np  0.0000  0.5000  0.0000  4 Ir 2.89
Np  0.5000  0.0000  0.0000  4 Ir 2.89
Np  0.5000  0.5000  0.5000  4 Ir 2.89
Ir  0.2500  0.2500  0.7500  4 Gd 2.89, 4 Np 2.89
Ir  0.2500  0.7500  0.2500  4 Gd 2.89, 4 Np 2.89
Ir  0.7500  0.2500  0.2500  4 Gd 2.89, 4 Np 2.89
Ir  0.7500  0.7500  0.7500  4 Gd 2.89, 4 Np 2.89

=====

[2]
Here is a relaxed Gd6IrO3 crystal from the Open Quantum Materials Database. Energies are from GGA-PBE.

Properties
Space-group type: I4/mmm
Spin magnetization in μB/cell: 0.0
E in eV/cell: -60.29

Cell lengths 7.3762, 7.3762, 7.3762 Å; angles 111.78, 111.78, 104.94 degrees
Last column: nearest neighbours and their distance in Å.
Positions (direct):
Gd  0.1737  0.5000  0.6737  2 O 2.67, 1 Ir 2.70, 1 Gd 2.87
Gd  0.2166  0.2166  0.0000  1 O 1.95
Gd  0.5000  0.1737  0.6737  2 O 2.67, 1 Ir 2.70, 1 Gd 2.87
Gd  0.5000  0.8263  0.3263  2 O 2.67, 1 Ir 2.70, 1 Gd 2.87
Gd  0.7834  0.7834  0.0000  1 O 1.95
Gd  0.8263  0.5000  0.3263  2 O 2.67, 1 Ir 2.70, 1 Gd 2.87
Ir  0.5000  0.5000  0.0000  6 Gd 2.55-2.70
O  0.0000  0.0000  0.0000  2 Gd 1.95
O  0.2500  0.7500  0.5000  4 Gd 2.67
O  0.7500  0.2500  0.5000  4 Gd 2.67

=====

[3]
Here is a relaxed GdIr2O4 crystal from the Open Quantum Materials Database. Energies are from GGA-PBE.

Properties
Space-group type: Fd-3m
Spin magnetization in μB/cell: 0.0
E in eV/cell: -99.49

Cell lengths 6.3997, 6.3997, 6.3997 Å; angles 60.00, 60.00, 60.00 degrees
Last column: nearest neighbours and their distance in Å.
Positions (direct):
Gd  0.1250  0.1250  0.1250  4 O 2.25
Gd  0.8750  0.8750  0.8750  4 O 2.25
Ir  0.0000  0.5000  0.5000  6 O 2.11
Ir  0.5000  0.0000  0.5000  6 O 2.11
Ir  0.5000  0.5000  0.0000  6 O 2.11
Ir  0.5000  0.5000  0.5000  6 O 2.11
O  0.2685  0.2685  0.2685  3 Ir 2.11, 1 Gd 2.25
O  0.2685  0.2685  0.6944  3 Ir 2.11, 1 Gd 2.25
O  0.2685  0.6944  0.2685  3 Ir 2.11, 1 Gd 2.25
O  0.3056  0.7315  0.7315  3 Ir 2.11, 1 Gd 2.25
O  0.6944  0.2685  0.2685  3 Ir 2.11, 1 Gd 2.25
O  0.7315  0.3056  0.7315  3 Ir 2.11, 1 Gd 2.25
O  0.7315  0.7315  0.3056  3 Ir 2.11, 1 Gd 2.25
O  0.7315  0.7315  0.7315  3 Ir 2.11, 1 Gd 2.25

=====

[4]
Here is a relaxed Gd2P2IrOsO2 crystal from the Open Quantum Materials Database. Energies are from GGA-PBE.

Properties
Space-group type: P-4m2
Spin magnetization in μB/cell: 0.0
E in eV/cell: -65.81

Cell lengths 3.9892, 3.9892, 8.0641 Å; angles 90.00, 90.00, 90.00 degrees
Last column: nearest neighbours and their distance in Å.
Positions (direct):
Gd  0.0000  0.5000  0.1375  4 O 2.28
Gd  0.5000  0.0000  0.8625  4 O 2.28
P  0.0000  0.5000  0.6543  2 Ir 2.35, 2 Os 2.35
P  0.5000  0.0000  0.3457  2 Ir 2.35, 2 Os 2.35
Ir  0.5000  0.5000  0.5000  4 P 2.35
Os  0.0000  0.0000  0.5000  4 P 2.35
O  0.0000  0.0000  0.0000  4 Gd 2.28
O  0.5000  0.5000  0.0000  4 Gd 2.28

=====

[5]
Here is a relaxed GdPIrO crystal from the Open Quantum Materials Database. Energies are from GGA-PBE.

Properties
Offset from the most stable computed form in meV/atom: 1211
Space-group type: P4/mmm
Spin magnetization in μB/cell: 0.0
E in eV/cell: -26.92

Cell lengths 3.9351, 3.9351, 4.4800 Å; angles 90.00, 90.00, 90.00 degrees
Last column: nearest neighbours and their distance in Å.
Positions (direct):
Gd  0.0000  0.0000  0.0000  2 O 2.24
P  0.5000  0.5000  0.0000  2 Ir 2.24
Ir  0.5000  0.5000  0.5000  2 P 2.24
O  0.0000  0.0000  0.5000  2 Gd 2.24

=====

[6]
Here is a relaxed GdPIrO crystal from the Open Quantum Materials Database. Energies are from GGA-PBE.

Properties
Offset from the most stable computed form in meV/atom: 1198
Space-group type: P4/nmm
Spin magnetization in μB/cell: 0.1
E in eV/cell: -53.94

Cell lengths 5.6827, 5.6827, 4.4516 Å; angles 90.00, 90.00, 90.00 degrees
Last column: nearest neighbours and their distance in Å.
Positions (direct):
Gd  0.2500  0.7500  0.0000  2 O 2.23
Gd  0.7500  0.2500  0.0000  2 O 2.23
P  0.2500  0.2500  0.0083  2 Ir 2.22-2.23
P  0.7500  0.7500  0.9917  2 Ir 2.22-2.23
Ir  0.2500  0.2500  0.5087  2 P 2.22-2.23
Ir  0.7500  0.7500  0.4913  2 P 2.22-2.23
O  0.2500  0.7500  0.5000  2 Gd 2.23
O  0.7500  0.2500  0.5000  2 Gd 2.23

=====

[7]
Here is a relaxed GdPIrO crystal from the Open Quantum Materials Database. Energies are from GGA-PBE.

Properties
Offset from the most stable computed form in meV/atom: 0
Space-group type: P4/nmm
Spin magnetization in μB/cell: 0.0
E in eV/cell: -63.53

Cell lengths 3.9585, 3.9585, 8.1477 Å; angles 90.00, 90.00, 90.00 degrees
Last column: nearest neighbours and their distance in Å.
Positions (direct):
Gd  0.2500  0.2500  0.1375  4 O 2.27
Gd  0.7500  0.7500  0.8625  4 O 2.27
P  0.2500  0.2500  0.6609  4 Ir 2.37
P  0.7500  0.7500  0.3391  4 Ir 2.37
Ir  0.2500  0.7500  0.5000  4 P 2.37
Ir  0.7500  0.2500  0.5000  4 P 2.37
O  0.2500  0.7500  0.0000  4 Gd 2.27
O  0.7500  0.2500  0.0000  4 Gd 2.27

=====

[8]
Here is a relaxed GdPIrO crystal from the Open Quantum Materials Database. Energies are from GGA-PBE.

Properties
Offset from the most stable computed form in meV/atom: 526
Space-group type: Pmc2_1
Spin magnetization in μB/cell: 0.0
E in eV/cell: -59.32

Cell lengths 4.5728, 4.1321, 6.7215 Å; angles 90.00, 90.00, 90.00 degrees
Last column: nearest neighbours and their distance in Å.
Positions (direct):
Gd  0.0000  0.2251  0.0000  3 O 2.30-2.35
Gd  0.0000  0.7749  0.5000  3 O 2.30-2.35
P  0.5000  0.2127  0.6838  3 Ir 2.31-2.33
P  0.5000  0.7873  0.1838  3 Ir 2.31-2.33
Ir  0.5000  0.2898  0.3419  2 O 2.29, 3 P 2.31-2.33
Ir  0.5000  0.7102  0.8419  2 O 2.29, 3 P 2.31-2.33
O  0.0000  0.2800  0.3401  2 Ir 2.29, 3 Gd 2.30-2.35
O  0.0000  0.7200  0.8401  2 Ir 2.29, 3 Gd 2.30-2.35

=====

[9]
Here is a relaxed GdPIrO crystal from the Open Quantum Materials Database. Energies are from GGA-PBE.

Properties
Offset from the most stable computed form in meV/atom: 690
Space-group type: Pmc2_1
Spin magnetization in μB/cell: 0.0
E in eV/cell: -58.01

Cell lengths 3.4192, 7.5615, 5.2109 Å; angles 90.00, 90.00, 90.00 degrees
Last column: nearest neighbours and their distance in Å.
Positions (direct):
Gd  0.0000  0.1982  0.0000  2 O 2.22
Gd  0.0000  0.8018  0.5000  2 O 2.22
P  0.0000  0.4225  0.4914  2 Ir 2.26
P  0.0000  0.5775  0.9914  2 Ir 2.26
Ir  0.5000  0.2274  0.4989  2 O 2.21-2.27, 2 P 2.26
Ir  0.5000  0.7726  0.9989  2 O 2.21-2.27, 2 P 2.26
O  0.5000  0.0445  0.8438  2 Ir 2.21-2.27, 2 Gd 2.22
O  0.5000  0.9555  0.3438  2 Ir 2.21-2.27, 2 Gd 2.22

=====

[10]
Here is a relaxed TbGdP2Ir2O2 crystal from the Open Quantum Materials Database. Energies are from GGA-PBE.

Properties
Space-group type: P4mm
Spin magnetization in μB/cell: 0.0
E in eV/cell: -63.51

Cell lengths 3.9586, 3.9586, 8.0600 Å; angles 90.00, 90.00, 90.00 degrees
Last column: nearest neighbours and their distance in Å.
Positions (direct):
Tb  0.0000  0.0000  0.0000  4 O 2.26
Gd  0.5000  0.5000  0.7249  4 O 2.28
P  0.0000  0.0000  0.5260  4 Ir 2.38
P  0.5000  0.5000  0.1999  4 Ir 2.38
Ir  0.0000  0.5000  0.3628  4 P 2.38
Ir  0.5000  0.0000  0.3628  4 P 2.38
O  0.0000  0.5000  0.8642  2 Tb 2.26, 2 Gd 2.28
O  0.5000  0.0000  0.8642  2 Tb 2.26, 2 Gd 2.28

=====

[11]
Here is a relaxed GdYP2Ir2O2 crystal from the Open Quantum Materials Database. Energies are from GGA-PBE.

Properties
Space-group type: P4mm
Spin magnetization in μB/cell: 0.0
E in eV/cell: -65.24

Cell lengths 3.9586, 3.9586, 8.0504 Å; angles 90.00, 90.00, 90.00 degrees
Last column: nearest neighbours and their distance in Å.
Positions (direct):
Gd  0.0000  0.0000  0.0000  4 O 2.28
Y  0.5000  0.5000  0.2742  4 O 2.26
P  0.0000  0.0000  0.4744  4 Ir 2.37
P  0.5000  0.5000  0.8007  4 Ir 2.38
Ir  0.0000  0.5000  0.6373  4 P 2.37-2.38
Ir  0.5000  0.0000  0.6373  4 P 2.37-2.38
O  0.0000  0.5000  0.1393  2 Y 2.26, 2 Gd 2.28
O  0.5000  0.0000  0.1393  2 Y 2.26, 2 Gd 2.28

=====

[12]
Here is a relaxed GdIrS2O crystal from the Open Quantum Materials Database. Energies are from GGA-PBE.

Properties
Space-group type: C2/m
Spin magnetization in μB/cell: 0.0
E in eV/cell: -69.80

Cell lengths 6.0381, 6.0381, 7.5766 Å; angles 93.06, 93.06, 35.70 degrees
Last column: nearest neighbours and their distance in Å.
Positions (direct):
Gd  0.2308  0.2308  0.2945  3 O 2.25-2.29
Gd  0.7692  0.7692  0.7055  3 O 2.25-2.29
Ir  0.0000  0.0000  0.0000  6 S 2.41-2.42
Ir  0.5000  0.5000  0.5000  2 O 2.08
S  0.0490  0.0490  0.6955  3 Ir 2.41-2.42
S  0.3646  0.3646  0.9859  2 Ir 2.42
S  0.6354  0.6354  0.0141  2 Ir 2.42
S  0.9510  0.9510  0.3045  3 Ir 2.41-2.42
O  0.3273  0.3273  0.5677  1 Ir 2.08, 3 Gd 2.25-2.29
O  0.6727  0.6727  0.4323  1 Ir 2.08, 3 Gd 2.25-2.29